Record 1
BeAl2B | PBE-GGA | relaxed

Values from the calculation:
D(E_F) = 0.80 states/eV/f.u.
Polymorph energy (0 for the lowest one) = 2.0 kJ per mole of atoms
Spin magnetization = 0.00 μB per cell

Cell and atoms, written as POSCAR:
```
BeAl2B
1.0
10.4969 0.0000 0.0035
1.1661 1.7489 -2.7964
-1.1661 1.7489 2.7964
Be B Al
2 2 4
Cartesian
1.3040 1.7489 -1.6458
9.1929 1.7489 1.6492
3.1401 1.7489 -0.8804
7.3569 1.7489 0.8839
7.0537 1.7489 -1.4310
3.4432 1.7489 1.4345
9.5570 1.7489 -2.5758
0.9399 1.7489 2.5793
```


Record 2
BeAlB2 | PBE-GGA | relaxed

Values from the calculation:
D(E_F) = 0.23 states/eV/f.u.
Polymorph energy (0 for the lowest one) = 2.1 kJ per mole of atoms
Spin magnetization = 0.00 μB per cell

Cell and atoms, written as POSCAR:
```
BeAlB2
1.0
-2.8795 0.7724 0.1588
0.7719 -2.6667 -1.0984
-0.2763 -1.9769 4.6055
Be B Al
1 2 1
Cartesian
-0.7012 -3.3520 3.5878
-1.8662 -1.8325 3.1375
-0.1964 -1.4056 3.2746
-1.7473 -0.9817 1.1556
```


| no. | energy of formation from the pure elements (eV per atom) | raw total energy (eV per atom) |
| --- | --- | --- |
| 1 | 0.120 | -4.35 |
| 2 | 0.030 | -5.18 |